# 1
Below is crystalline YIrW2 at its relaxed geometry, with properties calculated at the GGA-PBE level.

## Properties
Its space-group type is P4/mmm (123). As for the total energy: -39.59 eV/f.u. As for the volume: 77.6 Å³ per cell.

Cell lengths 3.3390, 3.3390, 6.9584 Å; angles 90.00, 90.00, 90.00 degrees
Atoms (fractional coordinates):
Y: 0.0000 0.0000 0.0000
Ir: 0.0000 0.0000 0.5000
W: 0.5000 0.5000 0.3167
W: 0.5000 0.5000 0.6833

# 2
Below is crystalline Nd5DyTm2 at its relaxed geometry, with properties calculated at the GGA-PBE level.

## Properties
Its space-group type is I4/mcm (140). As for the total energy: -36.45 eV/f.u. As for the volume: 540.4 Å³ per cell.

Cell lengths 9.0937, 9.0937, 9.0937 Å; angles 118.88, 118.88, 91.95 degrees
Atoms (fractional coordinates):
Nd: 0.0000 0.0000 0.0000
Nd: 0.0137 0.5137 0.2004
Nd: 0.1867 0.9863 0.5000
Nd: 0.3133 0.8133 0.7996
Nd: 0.4863 0.6867 0.5000
Nd: 0.5000 0.5000 0.0000
Nd: 0.5137 0.3133 0.5000
Nd: 0.6867 0.1867 0.2004
Nd: 0.8133 0.0137 0.5000
Nd: 0.9863 0.4863 0.7996
Dy: 0.2500 0.2500 0.0000
Dy: 0.7500 0.7500 0.0000
Tm: 0.1460 0.3540 0.5000
Tm: 0.3540 0.8540 0.2080
Tm: 0.6460 0.1460 0.7920
Tm: 0.8540 0.6460 0.5000

# 3
Below is crystalline MgAlH2 at its relaxed geometry, with properties calculated at the GGA-PBE level.

## Properties
Its space-group type is Pm (6). As for the total energy: -11.91 eV/f.u. As for the volume: 97.2 Å³ per cell.

Cell lengths 3.9957, 2.9719, 8.2799 Å; angles 90.00, 98.81, 90.00 degrees
Atoms (fractional coordinates):
Mg: 0.0000 0.0000 0.0000
Mg: 0.4208 0.5000 0.7365
Al: 0.2557 0.5000 0.3570
Al: 0.7969 0.0000 0.4871
H: 0.0668 0.5000 0.1502
H: 0.1133 0.0000 0.6657
H: 0.4810 0.0000 0.9408
H: 0.9369 0.5000 0.8509